(1)
Below is an optimized crystal structure of PbBr2Cl, with properties calculated at the GGA-PBE level.

Properties
The energy above the most stable polymorph in this dataset comes out at 1.08 eV/f.u. Its space-group type is Fm-3m. The spin magnetization is 1.00 Bohr magnetons per cell.

abc: 5.360 5.360 5.360
angles: 60.00 60.00 60.00
Element x y z (fractional)
Pb1 0.000 0.000 0.000
Br1 0.250 0.250 0.250
Br2 0.750 0.750 0.750
Cl1 0.500 0.500 0.500

---

(2)
Below is an optimized crystal structure of PbBr2Cl, with properties calculated at the GGA-PBE level.

Properties
The energy above the most stable polymorph in this dataset comes out at 0.14 eV/f.u. Its space-group type is Cm. The spin magnetization is 1.02 Bohr magnetons per cell.

abc: 5.522 5.522 6.468
angles: 103.99 103.99 45.45
Element x y z (fractional)
Pb1 0.000 0.000 0.000
Br1 0.366 0.366 0.657
Br2 0.537 0.537 0.361
Cl1 0.723 0.723 0.014

---

(3)
Below is an optimized crystal structure of PbBr2Cl, with properties calculated at the GGA-PBE level.

Properties
The energy above the most stable polymorph in this dataset comes out at 0.50 eV/f.u. Its space-group type is Imm2. The spin magnetization is 1.03 Bohr magnetons per cell.

abc: 7.470 7.470 7.470
angles: 147.96 137.66 54.06
Element x y z (fractional)
Pb1 0.000 0.000 0.000
Br1 0.437 0.437 0.000
Br2 0.822 0.322 0.500
Cl1 0.141 0.641 0.500

---

(4)
Below is an optimized crystal structure of Pb2BrCl, with properties calculated at the GGA-PBE level.

Properties
The energy above the most stable polymorph in this dataset comes out at 0.16 eV/f.u. Its space-group type is Imm2. The spin magnetization is 0.00 Bohr magnetons per cell.

abc: 7.627 7.627 7.627
angles: 151.97 142.21 47.70
Element x y z (fractional)
Pb1 0.000 0.000 0.000
Pb2 0.788 0.288 0.500
Br1 0.250 0.750 0.500
Cl1 0.512 0.512 0.000